SrTaPdO6: optimized geometry, PBE.

The structure belongs to space group P312 (No. 149); the cell edges are 5.3140, 5.3140 and 5.4271 Å and the angles 90.00°, 90.00° and 120.00°. Symmetry generates all atoms from Sr at (0.0000, 0.0000, 0.0000), Ta at (0.6667, 0.3333, 0.5000), Pd at (0.3333, 0.6667, 0.5000) and O at (0.3745, 0.0013, 0.7046).

The calculation puts the uncorrected formation energy at -1.87 eV per atom. As for the total energy: -65.3 eV per cell. Its volume is 132.7 Å³ per cell.


Ac2ErP3Pt12: optimized geometry, PBE.

The structure belongs to space group R-3m (No. 166, hexagonal axes); the cell edges are 8.3461, 8.3461 and 18.7963 Å and the angles 90.00°, 90.00° and 120.00°. Symmetry generates all atoms from Ac at (0.0000, 0.0000, 0.1051), Er at (0.0000, 0.0000, 0.5000), P at (0.0000, 0.5000, 0.0000), Pt at (0.0186, 0.5093, 0.8768) and Pt at (0.0435, 0.5217, 0.3569).

As for the total energy: -332.9 eV per cell. The formation energy comes out at -0.526 eV per atom. Its volume is 1133.9 Å³ per cell.


PmMgIrPd: optimized geometry, PBE.

The structure belongs to space group F-43m (No. 216); the cell edges are 6.777, 6.777 and 6.777 Å and the angles 90.00°, 90.00° and 90.00°. Symmetry generates all atoms from Pm at (0.000, 0.000, 0.000), Mg at (0.000, 0.000, 0.500), Ir at (0.250, 0.250, 0.750) and Pd at (0.250, 0.250, 0.250).

As for the total energy: -91.0 eV per cell. The formation energy comes out at -0.586 eV per atom. Its volume is 311.3 Å³ per cell.


LuZn2: optimized geometry, PBE.

The structure belongs to space group I4/mmm (No. 139); the cell edges are 3.256, 3.256 and 10.797 Å and the angles 90.00°, 90.00° and 90.00°. Symmetry generates all atoms from Lu at (0.000, 0.000, 0.000) and Zn at (0.000, 0.000, 0.317).

As for the total energy: -15.3 eV per cell. The formation energy comes out at -0.198 eV per atom. Its volume is 114.5 Å³ per cell.


Dy4Hg4Pb5: optimized geometry, PBE.

The structure belongs to space group I4/m (No. 87); the cell edges are 12.192, 12.192 and 4.706 Å and the angles 90.00°, 90.00° and 90.00°. Symmetry generates all atoms from Dy at (0.127, 0.773, 0.000), Hg at (0.088, 0.395, 0.000), Pb at (0.000, 0.000, 0.000) and Pb at (0.058, 0.204, 0.500).

As for the total energy: -84.8 eV per cell. The formation energy comes out at -0.326 eV per atom. Its volume is 699.5 Å³ per cell.


NiMo6N: optimized geometry, PBE.

The structure belongs to space group R-3 (No. 148, hexagonal axes); the cell edges are 5.4616, 5.4616 and 13.7106 Å and the angles 90.00°, 90.00° and 120.00°. Symmetry generates all atoms from Ni at (0.0000, 0.0000, 0.0000), Mo at (0.0258, 0.6195, 0.9173) and N at (0.0000, 0.0000, 0.5000).

The calculation puts the uncorrected formation energy at 0.29 eV per atom. As for the total energy: -230.3 eV per cell. Its volume is 354.2 Å³ per cell.


Tl2ZnPt: optimized geometry, PBE.

The structure belongs to space group P4mm (No. 99); the cell edges are 3.410, 3.410 and 7.843 Å and the angles 90.00°, 90.00° and 90.00°. Symmetry generates all atoms from Tl at (0.000, 0.000, 0.000), Tl at (0.500, 0.500, 0.347), Zn at (0.000, 0.000, 0.619) and Pt at (0.500, 0.500, 0.736).

As for the total energy: -12.3 eV per cell. The formation energy comes out at -0.074 eV per atom. For the energy above the most stable polymorph in this dataset, the calculation gives 0.3 kJ per mole of atoms. Its volume is 91.2 Å³ per cell.


LaSi: optimized geometry, PBE.

The structure belongs to space group P2_12_12_1 (No. 19); the cell edges are 5.806, 6.086 and 11.239 Å and the angles 90.00°, 90.00° and 90.00°. Symmetry generates all atoms from La at (0.119, 0.074, 0.023), La at (0.152, 0.667, 0.825), Si at (0.138, 0.569, 0.104) and Si at (0.162, 0.831, 0.279).

The calculation puts the uncorrected formation energy at -0.60 eV per atom. As for the total energy: -92.4 eV per cell. Its volume is 397.1 Å³ per cell.


LaGa2TeO8: optimized geometry, PBE.

The structure belongs to space group P-1 (No. 2); the cell edges are 4.543, 4.700 and 7.265 Å and the angles 85.20°, 89.18° and 88.24°. Symmetry generates all atoms from La at (0.000, 0.000, 0.000), Ga at (0.472, 0.466, 0.699), Te at (0.000, 0.000, 0.500), O at (0.188, 0.783, 0.711), O at (0.190, 0.812, 0.301), O at (0.306, 0.292, 0.491) and O at (0.408, 0.311, 0.943).

The calculation puts the uncorrected formation energy at -1.70 eV per atom. As for the total energy: -74.1 eV per cell. Its volume is 154.5 Å³ per cell.